The following is a GGA+U calculation of crystalline Sr2CoSe2Cl2O6 at its relaxed geometry, from Alexandria via LeMat-Bulk.

```
Sr2CoSe2Cl2O6
1.0
5.447 0.000 0.000
0.000 6.491 0.000
-4.775 0.000 12.533
Sr Co Se Cl O
4 2 4 4 12
Direct
0.222 0.202 0.235 Sr
0.222 0.298 0.735 Sr
0.778 0.702 0.265 Sr
0.778 0.798 0.765 Sr
0.500 0.000 0.000 Co
0.500 0.500 0.500 Co
0.079 0.738 0.075 Se
0.079 0.762 0.575 Se
0.921 0.238 0.425 Se
0.921 0.262 0.925 Se
0.451 0.674 0.895 Cl
0.451 0.826 0.395 Cl
0.549 0.174 0.605 Cl
0.549 0.326 0.105 Cl
0.108 0.573 0.177 O
0.108 0.927 0.677 O
0.115 0.072 0.895 O
0.115 0.428 0.395 O
0.377 0.628 0.621 O
0.377 0.872 0.121 O
0.623 0.128 0.879 O
0.623 0.372 0.379 O
0.885 0.572 0.605 O
0.885 0.928 0.105 O
0.892 0.073 0.323 O
0.892 0.427 0.823 O
```

Calculated values
Total magnetic moment ... 3.0 μB per formula unit
Total DFT energy (no corrections) ... -5.44 eV per atom